1.
VASP calculation (PBEsol) on crystalline Ba2SrTiAl at its relaxed geometry.

Geometry as extended XYZ:
```
5
Lattice="5.2394 0.0000 0.0000 0.0000 6.4540 0.0000 0.0000 0.0000 6.4540" Properties=species:S:1:pos:R:3 pbc="T T T"
Sr 2.6197 3.2270 3.2270
Al 0.0000 0.0000 0.0000
Ba 0.0000 0.0000 3.2270
Ba 0.0000 3.2270 0.0000
Ti 2.6197 0.0000 0.0000
```

Values from the calculation:
SG: P4/mmm, No. 123
energy: -3.198 eV per atom



2.
VASP calculation (PBEsol) on crystalline YAl10Fe2 at its relaxed geometry.

Geometry as extended XYZ:
```
26
Lattice="-0.9055 -2.6001 6.1107 0.7560 -5.7928 -3.2852 8.7677 0.3282 1.4389" Properties=species:S:1:pos:R:3 pbc="T T T"
Al 6.7011 -6.2981 1.8086
Al 1.9171 -1.7667 2.4558
Al 6.7687 -2.5013 0.5304
Al 1.8495 -5.5634 3.7340
Al 6.3097 -2.2695 3.2746
Al 2.3085 -5.7953 0.9898
Al 6.2644 -4.8088 4.1295
Al 2.3538 -3.2560 0.1349
Al 4.0287 -5.1546 -1.2161
Al 7.2776 -2.8095 5.9216
Al 1.3406 -5.2552 -1.6572
Al 4.5895 -2.9102 5.4805
Al 8.4631 -4.2850 1.6016
Al 3.6625 -3.6484 3.2385
Al 4.9557 -4.4163 1.0259
Al 0.1551 -3.7797 2.6629
Al -0.0340 -1.9058 0.6416
Al 4.2683 -6.3230 2.9034
Al -0.1156 -6.4871 2.1839
Al 4.3499 -1.7417 1.3611
Fe -0.4528 -1.3000 3.0554
Fe 3.9311 -1.1359 3.7748
Fe 4.7619 -2.7323 -0.9231
Fe 0.3780 -2.8964 -1.6426
Y 7.1228 -5.1451 -1.0242
Y 1.4954 -2.9196 5.2886
```

Values from the calculation:
SG: Cmcm, No. 63
energy: -5.419 eV per atom



3.
VASP calculation (PBEsol) on crystalline Ca2HgSb at its relaxed geometry.

Geometry as extended XYZ:
```
4
Lattice="-3.2582 -1.2487 2.6429 1.7800 -4.1370 0.2398 4.7126 2.2150 3.2315" Properties=species:S:1:pos:R:3 pbc="T T T"
Sb 0.5633 -2.0210 3.3643
Ca 2.2908 -1.1299 5.9151
Ca 1.6278 0.8397 2.4036
Hg -1.4221 -0.5175 1.6271
```

Values from the calculation:
SG: Amm2, No. 38
energy above the lowest structure with this stoichiometry: 0.0000 eV/atom
energy: -3.182 eV per atom



4.
VASP calculation (PBEsol) on crystalline Cr5CuGe2O12 at its relaxed geometry.

Geometry as extended XYZ:
```
40
Lattice="5.9081 0.0000 0.0000 0.0000 8.2820 0.0000 0.0000 -4.1410 8.4410" Properties=species:S:1:pos:R:3 pbc="T T T"
Cr 2.9540 0.0000 5.5363
Cr 2.9540 4.1410 2.9048
Cr 0.0000 4.1410 2.9048
Cr 0.0000 0.0000 5.5363
Cr 4.4311 2.0674 1.4534
Cr 1.4770 2.0736 6.9876
Cr 4.4311 -2.0737 6.9876
Cr 1.4770 6.2147 1.4534
Cr 2.9540 0.0000 0.0000
Cr 0.0000 0.0000 0.0000
Cu 4.4311 5.1609 0.0000
Cu 1.4770 3.1211 0.0000
Ge 4.4311 2.9471 5.6171
Ge 1.4770 1.1939 2.8240
Ge 4.4311 -1.1939 2.8240
Ge 1.4770 5.3349 5.6171
O 2.9681 1.9798 5.6732
O 2.9400 2.1612 2.7679
O 0.0141 2.1612 2.7679
O 5.8940 6.1209 2.7679
O 5.8940 1.9798 5.6732
O 0.0141 -1.9798 5.6732
O 2.9400 -1.9798 5.6732
O 2.9681 6.1209 2.7679
O 4.4311 3.9791 1.6276
O 1.4770 0.1619 6.8134
O 4.4311 -0.1619 6.8134
O 1.4770 4.3029 1.6276
O 4.4311 4.0462 4.2441
O 1.4770 0.0948 4.1969
O 4.4311 -0.0948 4.1969
O 1.4770 4.2358 4.2441
O 4.4311 -0.0254 1.3699
O 1.4770 4.1664 7.0711
O 4.4311 4.1156 7.0711
O 1.4770 0.0254 1.3699
O 3.1306 1.9275 0.0000
O 2.7775 6.3545 0.0000
O 0.1766 6.3545 0.0000
O 5.7315 1.9275 0.0000
```

Values from the calculation:
SG: Cmcm, No. 63
energy: -8.124 eV per atom



5.
VASP calculation (PBEsol) on crystalline KBa2Mn at its relaxed geometry.

Geometry as extended XYZ:
```
4
Lattice="6.1841 0.0000 0.0000 3.0920 5.3556 0.0000 3.0920 1.7852 5.0493" Properties=species:S:1:pos:R:3 pbc="T T T"
Ba 3.0920 1.7852 1.2623
Ba 9.2761 5.3556 3.7870
K 0.0000 0.0000 0.0000
Mn 6.1841 3.5704 2.5246
```

Values from the calculation:
SG: Fm-3m, No. 225
energy above the lowest structure with this stoichiometry: 0.0000 eV/atom
energy: -3.172 eV per atom



6.
VASP calculation (PBEsol) on crystalline LiTc at its relaxed geometry.

Geometry as extended XYZ:
```
2
Lattice="2.8776 0.0000 0.0000 0.0000 2.8776 0.0000 0.0000 0.0000 2.8776" Properties=species:S:1:pos:R:3 pbc="T T T"
Tc 1.4388 1.4388 1.4388
Li 0.0000 0.0000 0.0000
```

Values from the calculation:
SG: Pm-3m, No. 221
energy above the lowest structure with this stoichiometry: 0.7166 eV/atom
energy: -5.758 eV per atom



7.
VASP calculation (PBEsol) on crystalline BeTcF2 at its relaxed geometry.

Geometry as extended XYZ:
```
4
Lattice="-0.1054 1.8859 -1.8273 -1.9151 -0.0197 -1.7998 -6.1495 5.9061 4.5601" Properties=species:S:1:pos:R:3 pbc="T T T"
Be 0.0000 0.0000 0.0000
Tc -4.0850 3.8862 0.4665
F -2.8098 2.6279 -2.7955
F -5.3602 5.1444 3.7285
```

Values from the calculation:
SG: R-3m, No. 166
energy: -5.689 eV per atom



8.
VASP calculation (PBEsol) on crystalline CuSiTe2 at its relaxed geometry.

Geometry as extended XYZ:
```
4
Lattice="3.0760 0.0000 0.0000 0.0000 3.0760 0.0000 0.0000 0.0000 9.0637" Properties=species:S:1:pos:R:3 pbc="T T T"
Cu 0.0000 0.0000 4.9644
Si 1.5380 1.5380 6.1735
Te 0.0000 0.0000 8.5978
Te 1.5380 1.5380 2.9236
```

Values from the calculation:
SG: P4mm, No. 99
energy: -4.002 eV per atom



9.
VASP calculation (PBEsol) on crystalline Ta2Al2Pb at its relaxed geometry.

Geometry as extended XYZ:
```
5
Lattice="-2.1454 1.9276 -2.6197 -3.2341 -1.5967 1.4738 2.0997 4.9507 4.8207" Properties=species:S:1:pos:R:3 pbc="T T T"
Pb 0.0000 0.0000 0.0000
Al -0.4723 4.0947 3.3997
Al -2.8076 1.1869 0.2752
Ta -1.9121 1.7597 2.8608
Ta -1.3678 3.5219 0.8141
```

Values from the calculation:
SG: I4/mmm, No. 139
energy: -7.029 eV per atom



10.
VASP calculation (PBEsol) on crystalline BaLaPb2 at its relaxed geometry.

Geometry as extended XYZ:
```
4
Lattice="3.5353 0.0000 0.0062 0.0000 6.1145 0.0000 -0.0109 0.0000 6.1144" Properties=species:S:1:pos:R:3 pbc="T T T"
Ba 1.3274 0.0000 2.2948
La 1.3081 3.0573 5.3528
Pb 3.0852 0.0000 5.3553
Pb 3.0902 3.0573 2.2987
```

Values from the calculation:
SG: P4mm, No. 99
energy: -4.375 eV per atom



11.
VASP calculation (PBEsol) on crystalline Ag2SbPb at its relaxed geometry.

Geometry as extended XYZ:
```
4
Lattice="3.8995 0.0000 -0.0037 0.0000 4.3108 0.0000 -1.9165 0.0000 5.3319" Properties=species:S:1:pos:R:3 pbc="T T T"
Pb 2.7003 0.0000 2.2272
Sb 0.7504 2.1554 4.4650
Ag -1.1877 0.0000 5.0932
Ag 0.7448 2.1554 1.5370
```

Values from the calculation:
SG: Pm, No. 6
energy: -3.718 eV per atom



12.
VASP calculation (PBEsol) on crystalline Ba2Se2O at its relaxed geometry.

Geometry as extended XYZ:
```
5
Lattice="-1.0532 -2.9648 2.3787 2.4601 1.3500 2.7718 -6.7879 5.4770 0.5509" Properties=species:S:1:pos:R:3 pbc="T T T"
O 0.0000 0.0000 0.0000
Ba -4.9000 3.7606 2.5176
Ba -0.4810 0.1016 3.1838
Se -1.8122 3.0098 2.9489
Se -3.5688 0.8524 2.7524
```

Values from the calculation:
SG: I4/mmm, No. 139
energy: -4.721 eV per atom



13.
VASP calculation (PBEsol) on crystalline SrMgHg2 at its relaxed geometry.

Geometry as extended XYZ:
```
4
Lattice="3.6257 0.0000 0.0000 0.0000 3.6254 0.0000 0.0000 0.0000 7.5568" Properties=species:S:1:pos:R:3 pbc="T T T"
Sr 1.8128 1.8127 3.7784
Mg 1.8128 1.8127 0.0000
Hg 0.0000 0.0000 5.9478
Hg 0.0000 0.0000 1.6089
```

Values from the calculation:
SG: P4/mmm, No. 123
energy: -1.614 eV per atom



14.
VASP calculation (PBEsol) on crystalline InFe2GeI at its relaxed geometry.

Geometry as extended XYZ:
```
5
Lattice="-3.8133 2.2764 1.3571 -2.6382 -3.4874 -1.5633 0.3027 -2.4602 4.9772" Properties=species:S:1:pos:R:3 pbc="T T T"
I 0.0000 0.0000 0.0000
Ge 0.1514 -1.2301 2.4886
Fe -1.3191 -1.7437 -0.7816
Fe -1.9067 1.1382 0.6786
In -3.0744 -1.8356 2.3855
```

Values from the calculation:
SG: P4/mmm, No. 123
energy: -4.174 eV per atom



15.
VASP calculation (PBEsol) on crystalline CrAuBr2 at its relaxed geometry.

Geometry as extended XYZ:
```
4
Lattice="3.3485 0.0000 0.0000 1.6742 2.8999 0.0000 1.6742 0.9666 8.8199" Properties=species:S:1:pos:R:3 pbc="T T T"
Au 0.0000 0.0000 0.0000
Br 1.6742 0.9666 2.8042
Br 5.0227 2.8998 6.0158
Cr 3.3485 1.9332 4.4100
```

Values from the calculation:
SG: R-3m, No. 166
energy: -4.369 eV per atom



16.
VASP calculation (PBEsol) on crystalline Ba2GdReO6 at its relaxed geometry.

Geometry as extended XYZ:
```
10
Lattice="-4.0343 2.9446 -3.2261 -5.6861 0.1132 1.7346 -2.3724 5.0376 2.0854" Properties=species:S:1:pos:R:3 pbc="T T T"
Ba -3.0232 2.0238 0.1485
Ba -9.0696 6.0715 0.4454
Gd -6.0464 4.0477 0.2969
Re 0.0000 0.0000 0.0000
O -4.9729 3.4591 -1.5827
O -7.1199 4.6362 2.1766
O -6.2386 6.1469 -0.4701
O -5.8542 1.9485 1.0640
O -8.0066 3.5195 -0.6573
O -4.0862 4.5758 1.2511
```

Values from the calculation:
SG: Fm-3m, No. 225
energy: -8.991 eV per atom



17.
VASP calculation (PBEsol) on crystalline ReOs2W at its relaxed geometry.

Geometry as extended XYZ:
```
4
Lattice="-0.2692 -2.7443 -1.7341 2.4388 0.9774 -1.9254 3.6765 -2.5009 3.3872" Properties=species:S:1:pos:R:3 pbc="T T T"
Os 2.7674 -1.8826 2.5497
Os 0.9090 -0.6184 0.8375
Re 1.0848 -0.8834 -1.8297
W 2.9231 -2.1339 -0.1361
```

Values from the calculation:
SG: P4/mmm, No. 123
energy above the lowest structure with this stoichiometry: 0.4272 eV/atom
energy: -12.432 eV per atom



18.
VASP calculation (PBEsol) on crystalline HgSb2Pt at its relaxed geometry.

Geometry as extended XYZ:
```
4
Lattice="4.0453 0.0084 0.0603 2.0107 3.5102 0.0603 1.9450 1.1301 6.8872" Properties=species:S:1:pos:R:3 pbc="T T T"
Hg 3.0280 1.7593 0.0603
Pt 0.9725 0.5650 3.4436
Sb 2.9716 1.7266 4.7965
Sb 5.0294 2.9222 2.2113
```

Values from the calculation:
SG: C2/m, No. 12
energy: -4.400 eV per atom



19.
VASP calculation (PBEsol) on crystalline CoIr2RuC at its relaxed geometry.

Geometry as extended XYZ:
```
5
Lattice="3.3035 0.0000 0.0000 0.0000 4.5986 0.0000 0.0000 0.0000 4.5986" Properties=species:S:1:pos:R:3 pbc="T T T"
Ru 1.6517 2.2993 2.2993
C 1.6517 0.0000 0.0000
Ir 0.0000 0.0000 2.2993
Ir 0.0000 2.2993 0.0000
Co 0.0000 0.0000 0.0000
```

Values from the calculation:
SG: P4/mmm, No. 123
energy: -7.715 eV per atom



20.
VASP calculation (PBEsol) on crystalline HgBi2O at its relaxed geometry.

Geometry as extended XYZ:
```
4
Lattice="-4.8266 -0.8110 -0.5163 -1.7152 -4.6093 -0.1808 -2.6084 -1.8043 3.7631" Properties=species:S:1:pos:R:3 pbc="T T T"
Bi -2.2876 -1.8062 0.7665
Bi -6.8627 -5.4185 2.2996
O 0.0000 0.0000 0.0000
Hg -4.5751 -3.6123 1.5330
```

Values from the calculation:
SG: Fm-3m, No. 225
energy: -3.497 eV per atom



21.
VASP calculation (PBEsol) on crystalline KCo2Te at its relaxed geometry.

Geometry as extended XYZ:
```
8
Lattice="-1.7049 4.4320 -0.7794 -4.3936 -1.8196 -0.7361 1.3387 -0.5133 9.0079" Properties=species:S:1:pos:R:3 pbc="T T T"
K -3.0493 1.3062 -0.7577
K -1.7077 2.6125 3.7354
Te 0.0000 0.0000 0.0000
Te -3.0521 -0.5133 3.7571
Co -3.9059 0.7929 5.6247
Co -3.0535 -1.4231 6.0145
Co -3.7229 -1.1664 1.5105
Co -1.5260 -0.2567 1.8785
```

Values from the calculation:
SG: I4_1/amd, No. 141
energy: -4.602 eV per atom



22.
VASP calculation (PBEsol) on crystalline YAg3 at its relaxed geometry.

Geometry as extended XYZ:
```
4
Lattice="3.5035 0.0000 0.0000 0.0000 3.5035 0.0000 0.0000 0.0000 6.3955" Properties=species:S:1:pos:R:3 pbc="T T T"
Y 1.7518 1.7518 0.0000
Ag 0.0000 0.0000 4.6149
Ag 0.0000 0.0000 1.7806
Ag 1.7518 1.7518 3.1977
```

Values from the calculation:
SG: P4/mmm, No. 123
energy: -4.380 eV per atom



23.
VASP calculation (PBEsol) on crystalline TlCuHg2 at its relaxed geometry.

Geometry as extended XYZ:
```
4
Lattice="-0.9240 -2.1926 -1.9871 4.1844 -2.1360 0.4113 -3.6580 -0.9622 5.1806" Properties=species:S:1:pos:R:3 pbc="T T T"
Cu -0.4620 -1.0963 -0.9936
Hg 0.4006 -4.0601 1.8757
Hg -0.7982 -1.2307 1.7291
Tl 2.0922 -1.0680 0.2056
```

Values from the calculation:
SG: Immm, No. 71
energy: -1.887 eV per atom



24.
VASP calculation (PBEsol) on crystalline P2RhCO at its relaxed geometry.

Geometry as extended XYZ:
```
5
Lattice="2.9663 0.0000 0.0000 0.0000 4.2519 0.0000 0.0000 0.0000 4.2519" Properties=species:S:1:pos:R:3 pbc="T T T"
P 0.0000 0.0000 2.1259
P 0.0000 2.1259 0.0000
C 0.0000 0.0000 0.0000
Rh 1.4831 2.1259 2.1259
O 1.4831 0.0000 0.0000
```

Values from the calculation:
SG: P4/mmm, No. 123
energy: -6.234 eV per atom



25.
VASP calculation (PBEsol) on crystalline SrSeBr2 at its relaxed geometry.

Geometry as extended XYZ:
```
4
Lattice="4.3558 0.0000 0.0000 0.0000 4.8655 0.0000 0.0000 0.0000 4.8655" Properties=species:S:1:pos:R:3 pbc="T T T"
Br 0.0000 0.0000 2.4328
Br 0.0000 2.4328 0.0000
Se 2.1779 2.4328 2.4328
Sr 2.1779 0.0000 0.0000
```

Values from the calculation:
SG: P4/mmm, No. 123
energy above the lowest structure with this stoichiometry: 0.3025 eV/atom
energy: -3.365 eV per atom



26.
VASP calculation (PBEsol) on crystalline Cs3PtS at its relaxed geometry.

Geometry as extended XYZ:
```
5
Lattice="5.9823 0.0000 0.0000 0.0000 5.9823 0.0000 0.0000 0.0000 5.9823" Properties=species:S:1:pos:R:3 pbc="T T T"
Cs 0.0000 2.9911 0.0000
Cs 0.0000 0.0000 2.9911
Cs 2.9911 0.0000 0.0000
S 2.9911 2.9911 2.9911
Pt 0.0000 0.0000 0.0000
```

Values from the calculation:
SG: Pm-3m, No. 221
energy: -2.886 eV per atom